w | # LiCa3P, relaxed, DFT PBE
data_LiCa3P
_chemical_formula_sum 'Li1 Ca3 P1'
_symmetry_space_group_name_H-M 'P 1'
_symmetry_Int_Tables_number 1
_symmetry_space_group_name_Hall 'P 1'
_cell_length_a 4.5488
_cell_length_b 4.5488
_cell_length_c 8.8795
_cell_angle_alpha 90.00
_cell_angle_beta 90.00
_cell_angle_gamma 90.00
loop_
_atom_site_label
_atom_site_fract_x
_atom_site_fract_y
_atom_site_fract_z
Li1 0.0000 0.0000 0.0000
Ca1 0.0000 0.0000 0.6021
Ca2 0.0000 0.5000 0.2893
Ca3 0.5000 0.0000 0.2893
P1 0.5000 0.5000 0.4904
# Crystal system   tetragonal

---

x | # LiCa3P, relaxed, DFT PBE
data_LiCa3P
_chemical_formula_sum 'Li4 Ca12 P4'
_symmetry_space_group_name_H-M 'P 1'
_symmetry_Int_Tables_number 1
_symmetry_space_group_name_Hall 'P 1'
_cell_length_a 7.2992
_cell_length_b 10.6753
_cell_length_c 7.6873
_cell_angle_alpha 90.00
_cell_angle_beta 90.00
_cell_angle_gamma 90.00
loop_
_atom_site_label
_atom_site_fract_x
_atom_site_fract_y
_atom_site_fract_z
Li1 0.0000 0.0000 0.0000
Li2 0.0000 0.5000 0.0000
Li3 0.5000 0.0000 0.5000
Li4 0.5000 0.5000 0.5000
Ca1 0.0864 0.2500 0.2257
Ca2 0.1516 0.0901 0.6682
Ca3 0.1516 0.4099 0.6682
Ca4 0.3484 0.5901 0.1682
Ca5 0.3484 0.9099 0.1682
Ca6 0.4136 0.7500 0.7257
Ca7 0.5864 0.2500 0.2743
Ca8 0.6516 0.0901 0.8318
Ca9 0.6516 0.4099 0.8318
Ca10 0.8484 0.5901 0.3318
Ca11 0.8484 0.9099 0.3318
Ca12 0.9136 0.7500 0.7743
P1 0.1501 0.7500 0.4369
P2 0.3499 0.2500 0.9369
P3 0.6501 0.7500 0.0631
P4 0.8499 0.2500 0.5631
# Crystal system   orthorhombic

---

Which structure is the least stable? The one labeled w.